Entry from Alexandria via LeMat-Bulk: crystalline ErMoPb2O6 at its relaxed geometry (GGA+U).

Values from the calculation:
symmetry	No. 14
calculated total energy	-136.60	eV/cell
M_tot	1.00	μB/f.u.
mass density	8.8	g/cm³

a b c (Å): 5.766 5.970 8.489
angles (deg): 90.00 89.41 90.00
Last column: magnetic moment on the atom in μB.
Fractional positions:
O 0.203 0.185 0.481  0.01
O 0.313 0.733 0.472  -0.03
O 0.797 0.815 0.519  0.01
O 0.297 0.685 0.019  0.01
O 0.438 0.976 0.740  0.01
O 0.187 0.233 0.028  -0.03
O 0.938 0.524 0.240  0.01
O 0.687 0.267 0.528  -0.03
O 0.703 0.315 0.981  0.01
O 0.813 0.767 0.972  -0.03
O 0.562 0.024 0.260  0.01
O 0.062 0.476 0.760  0.01
Pb 0.989 0.959 0.266  0.01
Pb 0.011 0.041 0.734  0.01
Pb 0.511 0.459 0.234  0.01
Pb 0.489 0.541 0.766  0.01
Er 0.500 0.000 0.000  0.01
Er 0.000 0.500 0.500  0.01
Mo 0.000 0.500 0.000  0.97
Mo 0.500 0.000 0.500  0.97